(1)
# Sc2InP, relaxed, DFT PBE-GGA
data_Sc2InP
_chemical_formula_sum 'Sc2 In1 P1'
_cell_length_a 3.403
_cell_length_b 3.218
_cell_length_c 7.558
_cell_angle_alpha 82.79
_cell_angle_beta 90.00
_cell_angle_gamma 90.00
_symmetry_space_group_name_H-M 'P 1'
_symmetry_Int_Tables_number 1
loop_
_symmetry_equiv_pos_as_xyz
'x,y,z'
loop_
_atom_site_label
_atom_site_fract_x
_atom_site_fract_y
_atom_site_fract_z
Sc1 0.000 0.086 0.707
Sc2 0.000 0.914 0.293
In1 0.500 0.500 0.000
P1 0.500 0.500 0.500
# * crystal system: monoclinic
# * D(E_F): 2.679 states/eV per cell
# * electronic total energy: -5.948 eV/atom
# * ΔH_f (0 K): -0.74 eV/atom
# * relative energy among the computed polymorphs: 184 meV per atom
# * space-group type: P2/m, No. 10

(2)
# ScInP3, relaxed, DFT PBE-GGA
data_ScInP3
_chemical_formula_sum 'Sc1 In1 P3'
_cell_length_a 4.943
_cell_length_b 4.943
_cell_length_c 4.943
_cell_angle_alpha 90.00
_cell_angle_beta 90.00
_cell_angle_gamma 90.00
_symmetry_space_group_name_H-M 'P 1'
_symmetry_Int_Tables_number 1
loop_
_symmetry_equiv_pos_as_xyz
'x,y,z'
loop_
_atom_site_label
_atom_site_fract_x
_atom_site_fract_y
_atom_site_fract_z
Sc1 0.500 0.500 0.500
P1 0.000 0.500 0.000
P2 0.000 0.000 0.500
P3 0.500 0.000 0.000
In1 0.000 0.000 0.000
# * crystal system: cubic
# * D(E_F): 5.225 states/eV per cell
# * electronic total energy: -4.290 eV/atom
# * ΔH_f (0 K): 0.77 eV/atom
# * relative energy among the computed polymorphs: 464 meV per atom
# * space-group type: Pm-3m, No. 221

(3)
# Sc2InP, relaxed, DFT PBE-GGA
data_Sc2InP
_chemical_formula_sum 'Sc2 In1 P1'
_cell_length_a 5.125
_cell_length_b 5.125
_cell_length_c 5.125
_cell_angle_alpha 128.74
_cell_angle_beta 128.74
_cell_angle_gamma 75.42
_symmetry_space_group_name_H-M 'P 1'
_symmetry_Int_Tables_number 1
loop_
_symmetry_equiv_pos_as_xyz
'x,y,z'
loop_
_atom_site_label
_atom_site_fract_x
_atom_site_fract_y
_atom_site_fract_z
Sc1 0.750 0.250 0.500
Sc2 0.250 0.750 0.500
In1 0.500 0.500 0.000
P1 0.000 0.000 0.000
# * crystal system: tetragonal
# * D(E_F): 3.579 states/eV per cell
# * electronic total energy: -5.696 eV/atom
# * ΔH_f (0 K): -0.49 eV/atom
# * relative energy among the computed polymorphs: 436 meV per atom
# * space-group type: I4/mmm, No. 139

(4)
# Sc2InP, relaxed, DFT PBE-GGA
data_Sc2InP
_chemical_formula_sum 'Sc2 In1 P1'
_cell_length_a 3.977
_cell_length_b 3.977
_cell_length_c 5.598
_cell_angle_alpha 90.00
_cell_angle_beta 90.00
_cell_angle_gamma 90.00
_symmetry_space_group_name_H-M 'P 1'
_symmetry_Int_Tables_number 1
loop_
_symmetry_equiv_pos_as_xyz
'x,y,z'
loop_
_atom_site_label
_atom_site_fract_x
_atom_site_fract_y
_atom_site_fract_z
Sc1 0.000 0.000 0.875
Sc2 0.500 0.500 0.375
In1 0.000 0.000 0.375
P1 0.500 0.500 0.875
# * crystal system: tetragonal
# * D(E_F): 3.270 states/eV per cell
# * electronic total energy: -5.749 eV/atom
# * ΔH_f (0 K): -0.55 eV/atom
# * relative energy among the computed polymorphs: 383 meV per atom
# * space-group type: P4/mmm, No. 123

(5)
# Sc2InP, relaxed, DFT PBE-GGA
data_Sc2InP
_chemical_formula_sum 'Sc2 In1 P1'
_cell_length_a 3.254
_cell_length_b 3.254
_cell_length_c 7.673
_cell_angle_alpha 90.00
_cell_angle_beta 90.00
_cell_angle_gamma 90.00
_symmetry_space_group_name_H-M 'P 1'
_symmetry_Int_Tables_number 1
loop_
_symmetry_equiv_pos_as_xyz
'x,y,z'
loop_
_atom_site_label
_atom_site_fract_x
_atom_site_fract_y
_atom_site_fract_z
Sc1 0.000 0.000 0.698
Sc2 0.000 0.000 0.302
In1 0.500 0.500 0.000
P1 0.500 0.500 0.500
# * crystal system: tetragonal
# * D(E_F): 4.371 states/eV per cell
# * electronic total energy: -5.905 eV/atom
# * ΔH_f (0 K): -0.70 eV/atom
# * relative energy among the computed polymorphs: 227 meV per atom
# * space-group type: P4/mmm, No. 123

(6)
# Sc2InP, relaxed, DFT PBE-GGA
data_Sc2InP
_chemical_formula_sum 'Sc2 In1 P1'
_cell_length_a 4.169
_cell_length_b 3.796
_cell_length_c 5.695
_cell_angle_alpha 72.27
_cell_angle_beta 90.00
_cell_angle_gamma 90.00
_symmetry_space_group_name_H-M 'P 1'
_symmetry_Int_Tables_number 1
loop_
_symmetry_equiv_pos_as_xyz
'x,y,z'
loop_
_atom_site_label
_atom_site_fract_x
_atom_site_fract_y
_atom_site_fract_z
Sc1 0.000 0.000 0.000
Sc2 0.500 0.500 0.500
In1 0.500 0.500 0.000
P1 0.000 0.000 0.500
# * crystal system: monoclinic
# * D(E_F): 2.749 states/eV per cell
# * electronic total energy: -5.766 eV/atom
# * ΔH_f (0 K): -0.56 eV/atom
# * relative energy among the computed polymorphs: 365 meV per atom
# * space-group type: P2/m, No. 10